! CdCu2AuF GGA-PBEsol relaxed; values from VASP
&SYSTEM
  ibrav = 0, nat = 5, ntyp = 4
/
ATOMIC_SPECIES
F 19.00 F.upf
Au 196.97 Au.upf
Cu 63.55 Cu.upf
Cd 112.41 Cd.upf
CELL_PARAMETERS angstrom
4.7724 0.0000 0.0000
0.0000 4.7724 0.0000
0.0000 0.0000 4.9847
ATOMIC_POSITIONS crystal
F 0.5000 0.5000 0.5000
Au 0.0000 0.0000 0.5000
Cu 0.0000 0.5000 0.0000
Cu 0.5000 0.0000 0.0000
Cd 0.0000 0.0000 0.0000
! Fermi-level density of states	3.4	states/eV per cell
! V	22.7	A^3/atom
! formation energy without anion corrections	4.49	eV per formula unit
! space-group type	No. 123